[1]
This record from the Alexandria database describes crystalline PuU2Fe3 at its relaxed geometry. The functional is PBE.

The mass density comes out at 14.1 g cm⁻³. The density of states at the Fermi level is 14.64 states/eV/cell. The crystal system is hexagonal. The value obtained for the total energy is -10.27 eV per atom.

It has space group P6/mmm (No. 191), with a = 5.5371 Å, b = 5.5371 Å, c = 3.9387 Å, α = 90.00°, β = 90.00° and γ = 120.00°. The inequivalent atoms are Pu at (0.0000, 0.0000, 0.0000), U at (0.3333, 0.6667, 0.0000) and Fe at (0.0000, 0.5000, 0.5000).


[2]
This record from the Alexandria database describes crystalline KSc2Be at its relaxed geometry. The functional is PBE.

The mass density comes out at 2.4 g cm⁻³. The density of states at the Fermi level is 16.00 states/eV/cell. The crystal system is tetragonal. The value obtained for the total energy is -3.47 eV per atom.

It has space group I-4m2 (No. 119), with a = 4.517 Å, b = 4.517 Å, c = 9.534 Å, α = 90.00°, β = 90.00° and γ = 90.00°. The inequivalent atoms are K at (0.000, 0.000, 0.000), Sc at (0.000, 0.000, 0.500), Sc at (0.000, 0.500, 0.750) and Be at (0.000, 0.500, 0.250).


[3]
This record from the Alexandria database describes crystalline ScSiHg2 at its relaxed geometry. The functional is PBE.

The mass density comes out at 9.5 g cm⁻³. The density of states at the Fermi level is 5.27 states/eV/cell. The crystal system is orthorhombic. As for the uncorrected formation energy: -0.0296 eV/atom. The value obtained for the total energy is -3.12 eV per atom.

It has space group Imm2 (No. 44), with a = 4.034 Å, b = 4.415 Å, c = 9.305 Å, α = 90.00°, β = 90.00° and γ = 90.00°. The inequivalent atoms are Sc at (0.000, 0.000, 0.000), Si at (0.000, 0.500, 0.725), Hg at (0.000, 0.000, 0.450) and Hg at (0.000, 0.500, 0.226).


[4]
This record from the Alexandria database describes crystalline FePdN2 at its relaxed geometry. The functional is PBE.

The mass density comes out at 7.0 g cm⁻³. The density of states at the Fermi level is 13.86 states/eV/cell. The crystal system is tetragonal. The calculation puts the offset from the most stable computed form at 0.0000 eV/atom. As for the uncorrected formation energy: 0.3365 eV/atom. The value obtained for the total energy is -7.24 eV per atom.

It has space group I-42d (No. 122), with a = 4.629 Å, b = 4.629 Å, c = 8.427 Å, α = 90.00°, β = 90.00° and γ = 90.00°. The inequivalent atoms are Fe at (0.000, 0.000, 0.000), Pd at (0.000, 0.000, 0.500) and N at (0.188, 0.250, 0.125).